The following is a PBE calculation of an optimized crystal structure of Ac4Ge3Ir, from Alexandria via LeMat-Bulk.

Cell lengths 4.635, 4.371, 11.560 Å; angles 90.00, 90.00, 90.00 degrees
Fractional positions:
Ac 0.500 0.500 0.347
Ac 0.000 0.500 0.869
Ac 0.000 0.000 0.136
Ac 0.500 0.000 0.643
Ge 0.000 0.500 0.572
Ge 0.000 0.000 0.427
Ge 0.500 0.000 0.938
Ir 0.500 0.500 0.068

Calculated values
Energy relative to the elements in eV/atom: -0.668
Space group: Pmm2, No. 25